No. 1
Computed, not measured: crystalline HBrF2 at its relaxed geometry at the PBE-GGA level of DFT. Values from VASP.

The structure in Quantum ESPRESSO input format:
```
&SYSTEM
  ibrav = 0, nat = 8, ntyp = 3
/
ATOMIC_SPECIES
H 1.01 H.upf
Br 79.90 Br.upf
F 19.00 F.upf
CELL_PARAMETERS angstrom
-2.444 2.444 3.484
2.444 -2.444 3.484
2.444 2.444 -3.484
ATOMIC_POSITIONS angstrom
H 0.000 0.000 0.000
H 0.000 2.444 1.742
Br 2.444 0.000 1.742
Br 0.000 0.000 3.484
F 0.006 1.222 0.871
F -1.222 2.438 2.613
F -0.006 3.666 0.871
F 1.222 2.450 2.613
```

As for the density of states at the Fermi level: 2.23 states/eV/cell. As for the symmetry: No. 122. The value obtained for the size of the total moment is 0.0 Bohr magnetons per cell. The calculation puts the total energy at -2.477 eV per atom.

=====

No. 2
Computed, not measured: crystalline Tb8Nd2Ho at its relaxed geometry at the PBE-GGA level of DFT. Values from VASP.

The structure in Quantum ESPRESSO input format:
```
&SYSTEM
  ibrav = 0, nat = 11, ntyp = 3
/
ATOMIC_SPECIES
Tb 158.93 Tb.upf
Nd 144.24 Nd.upf
Ho 164.93 Ho.upf
CELL_PARAMETERS angstrom
9.121 -2.531 0.000
9.121 2.531 0.000
-2.114 0.000 7.725
ATOMIC_POSITIONS angstrom
Tb 0.332 0.000 1.761
Tb 1.029 0.000 5.239
Tb 4.567 0.000 4.570
Tb 7.384 0.000 0.364
Tb 8.744 0.000 7.361
Tb 11.561 0.000 3.154
Tb 15.099 0.000 2.486
Tb 15.795 0.000 5.964
Nd 3.849 0.000 1.060
Nd 12.279 0.000 6.665
Ho 8.064 0.000 3.862
```

As for the density of states at the Fermi level: 15.42 states/eV/cell. As for the symmetry: No. 12. The value obtained for the size of the total moment is 0.0 Bohr magnetons per cell. The calculation puts the total energy at -4.633 eV per atom. As for the formation energy: 1.68 kJ/mol of atoms.

=====

No. 3
Computed, not measured: crystalline La2CdCl at its relaxed geometry at the PBE-GGA level of DFT. Values from VASP.

The structure in Quantum ESPRESSO input format:
```
&SYSTEM
  ibrav = 0, nat = 4, ntyp = 3
/
ATOMIC_SPECIES
La 138.91 La.upf
Cd 112.41 Cd.upf
Cl 35.45 Cl.upf
CELL_PARAMETERS angstrom
4.074 -4.072 0.000
4.074 4.072 0.000
-0.015 0.000 3.396
ATOMIC_POSITIONS angstrom
La 2.037 2.036 0.000
La 2.037 -2.036 0.000
Cd -0.008 0.000 1.698
Cl 4.066 0.000 1.698
```

As for the density of states at the Fermi level: 4.48 states/eV/cell. As for the symmetry: No. 12. The value obtained for the size of the total moment is 0.0 Bohr magnetons per cell. The calculation puts the total energy at -3.923 eV per atom. The value obtained for the raw formation energy is -0.769 eV per atom.

=====

No. 4
Computed, not measured: crystalline KBaC2 at its relaxed geometry at the PBE-GGA level of DFT. Values from VASP.

The structure in Quantum ESPRESSO input format:
```
&SYSTEM
  ibrav = 0, nat = 8, ntyp = 3
/
ATOMIC_SPECIES
K 39.10 K.upf
Ba 137.33 Ba.upf
C 12.01 C.upf
CELL_PARAMETERS angstrom
-2.604 2.604 8.409
2.604 -2.604 8.409
2.604 2.604 -8.409
ATOMIC_POSITIONS angstrom
K 0.000 0.000 0.000
K 0.000 2.604 4.204
Ba 2.604 0.000 4.204
Ba 0.000 0.000 8.409
C 1.302 -0.583 6.306
C 2.021 1.302 2.102
C 1.302 3.187 -2.102
C 0.583 1.302 10.511
```

As for the density of states at the Fermi level: 2.63 states/eV/cell. As for the symmetry: No. 122. The value obtained for the size of the total moment is 0.0 Bohr magnetons per cell. The calculation puts the total energy at -3.190 eV per atom. As for the formation energy: 210.02 kJ/mol of atoms.

=====

No. 5
Computed, not measured: crystalline NdIn3S6 at its relaxed geometry at the PBE-GGA level of DFT. Values from VASP.

The structure in Quantum ESPRESSO input format:
```
&SYSTEM
  ibrav = 0, nat = 20, ntyp = 3
/
ATOMIC_SPECIES
Nd 144.24 Nd.upf
In 114.82 In.upf
S 32.06 S.upf
CELL_PARAMETERS angstrom
11.008 0.000 0.000
0.000 3.926 0.000
-4.301 0.000 10.512
ATOMIC_POSITIONS angstrom
Nd 2.031 0.982 0.576
Nd 4.676 2.945 9.936
In -1.066 2.945 3.117
In 1.762 0.982 4.662
In 0.844 2.945 8.730
In 5.863 0.982 1.782
In 4.945 2.945 5.850
In 7.774 0.982 7.395
S -3.456 2.945 9.414
S -0.804 0.982 4.750
S -0.795 0.982 8.378
S 1.534 2.945 2.746
S 4.252 2.945 0.767
S 2.242 2.945 6.356
S 4.465 0.982 4.156
S 2.455 0.982 9.745
S 5.173 0.982 7.766
S 7.502 2.945 2.134
S 7.511 2.945 5.762
S 10.163 0.982 1.098
```

As for the symmetry: No. 11. The value obtained for the size of the total moment is 0.0 Bohr magnetons per cell. The calculation puts the total energy at -4.676 eV per atom. The value obtained for the raw formation energy is -0.901 eV per atom.

=====

No. 6
Computed, not measured: crystalline ZnRe2H at its relaxed geometry at the PBE-GGA level of DFT. Values from VASP.

The structure in Quantum ESPRESSO input format:
```
&SYSTEM
  ibrav = 0, nat = 4, ntyp = 3
/
ATOMIC_SPECIES
Zn 65.41 Zn.upf
Re 186.21 Re.upf
H 1.01 H.upf
CELL_PARAMETERS angstrom
0.000 2.909 2.909
2.909 0.000 2.909
2.909 2.909 0.000
ATOMIC_POSITIONS angstrom
Zn 0.000 0.000 0.000
Re 1.454 1.454 1.454
Re 4.363 4.363 4.363
H 2.909 2.909 2.909
```

As for the density of states at the Fermi level: 5.77 states/eV/cell. As for the symmetry: No. 225. The value obtained for the size of the total moment is 0.0 Bohr magnetons per cell. The calculation puts the total energy at -6.237 eV per atom.